VASP calculation (PBE) on an optimized crystal structure of Cs3LiTh3S8.

Structure (CIF):
```
data_Cs3LiTh3S8
_chemical_formula_sum 'Cs9 Li3 Th9 S24'
_symmetry_space_group_name_H-M 'R -3 m'
_symmetry_Int_Tables_number 166
_symmetry_space_group_name_Hall '-R 3 2"'
_cell_length_a 8.3909
_cell_length_b 8.3909
_cell_length_c 24.3764
_cell_angle_alpha 90.00
_cell_angle_beta 90.00
_cell_angle_gamma 120.00
loop_
_atom_site_label
_atom_site_type_symbol
_atom_site_fract_x
_atom_site_fract_y
_atom_site_fract_z
_atom_site_occupancy
Cs1 Cs 0.0000 0.5000 0.0000 1
Li1 Li 0.0000 0.0000 0.5000 1
Th1 Th 0.0000 0.5000 0.5000 1
S1 S 0.0000 0.0000 0.2294 1
S2 S 0.0129 0.5065 0.7747 1
```

Formation energy (no corrections) (eV per atom): -1.70